# LiGa2Co

A relaxed LiGa2Co crystal (PBE, Alexandria).

Properties
calculated total energy: -3.54 eV per atom

Cell lengths 2.5706, 4.2826, 12.3381 Å; angles 90.00, 90.00, 90.00 degrees
Space group Immm (No. 71)
One atom of each set of equivalent atoms:
Li  0.0000  0.0000  0.0000
Ga  0.0000  0.0000  0.3096
Co  0.0000  0.0000  0.5000